The following is a GGA+U calculation of a relaxed structure of TbMnO3, from Alexandria via LeMat-Bulk.

```
data_TbMnO3
_chemical_formula_sum 'Tb4 Mn4 O12'
_symmetry_space_group_name_H-M 'C m m m'
_symmetry_Int_Tables_number 65
_symmetry_space_group_name_Hall '-C 2 2'
_cell_length_a 5.3948
_cell_length_b 11.5331
_cell_length_c 3.7701
_cell_angle_alpha 90.00
_cell_angle_beta 90.00
_cell_angle_gamma 90.00
loop_
_atom_site_label
_atom_site_type_symbol
_atom_site_fract_x
_atom_site_fract_y
_atom_site_fract_z
Tb1 Tb 0.0000 0.1528 0.0000
Mn1 Mn 0.0000 0.3811 0.5000
O1 O 0.0000 0.3521 0.0000
O2 O 0.2216 0.0000 0.5000
O3 O 0.2500 0.2500 0.5000
```

The value obtained for the density of states at the Fermi level is 3.5 states/eV/cell. The calculated total energy comes out at -7.69 eV/atom.